Crystalline ZrAl2Pd2 at its relaxed geometry, computed with PBEsol.

Computed properties:
The calculated formation energy comes out at -625.8 meV per atom. As for the spin magnetization: 0.0 μB per cell.

abc: 3.7793 3.7793 11.8024
angles: 90.00 90.00 90.00
Space group I4/mmm (No. 139)
Unique sites:
Zr1 0.0000 0.0000 0.0000
Al1 0.0000 0.5000 0.2500
Pd1 0.0000 0.0000 0.3908

***

Crystalline Zr3AlPd at its relaxed geometry, computed with PBEsol.

Computed properties:
The calculated formation energy comes out at 381.5 meV per atom. As for the spin magnetization: 0.0 μB per cell.

abc: 4.9636 4.9636 4.9636
angles: 90.00 90.00 90.00
Space group Pm-3m (No. 221)
Unique sites:
Zr1 0.0000 0.0000 0.5000
Al1 0.5000 0.5000 0.5000
Pd1 0.0000 0.0000 0.0000

***

Crystalline Zr6Al16Pd7 at its relaxed geometry, computed with PBEsol.

Computed properties:
The calculated formation energy comes out at -771.4 meV per atom. As for the spin magnetization: 0.0 μB per cell.

abc: 12.3107 12.3107 12.3107
angles: 90.00 90.00 90.00
Space group Fm-3m (No. 225)
Unique sites:
Zr1 0.0000 0.0000 0.1870
Al1 0.1202 0.1202 0.3798
Al2 0.1657 0.1657 0.1657
Pd1 0.0000 0.0000 0.5000
Pd2 0.0000 0.2500 0.2500

***

Crystalline PmAl3 at its relaxed geometry, computed with PBEsol.

Computed properties:
The calculated formation energy comes out at -453.7 meV per atom. As for the spin magnetization: 0.0 μB per cell.

abc: 6.3559 6.3559 4.6092
angles: 90.00 90.00 120.00
Space group P6_3/mmc (No. 194)
Unique sites:
Pm1 0.3333 0.6667 0.2500
Al1 0.1442 0.2884 0.7500